(1)
Below is crystalline MgAlI2N at its relaxed geometry, with properties calculated at the GGA-PBE level.

Summary:
ΔE_f (raw)	0.28	eV per atom

Lattice parameters (Å, degrees): 5.9344 5.9344 4.1429 90.00 90.00 90.00
With the nearest neighbours (Å) after each atom.
Fractional positions:
Mg (0.0000, 0.0000, 0.0000)  2 N 2.07
Al (0.5000, 0.5000, 0.5000)  8 I 3.62
I (0.0000, 0.5000, 0.0000)  2 Mg 2.97
I (0.5000, 0.0000, 0.0000)  2 Mg 2.97
N (0.0000, 0.0000, 0.5000)  2 Mg 2.07

---

(2)
Below is crystalline CeMg6Al at its relaxed geometry, with properties calculated at the GGA-PBE level.

Summary:
energy relative to the elements	0.028	eV per atom
N(E_F)	10.0	states/eV per cell

Lattice parameters (Å, degrees): 5.0365 6.8605 6.8605 53.69 90.00 90.00
With the nearest neighbours (Å) after each atom.
Fractional positions:
Ce (0.0000, 0.0000, 0.0000)  2 Al 3.14, 10 Mg 3.20-3.48
Mg (0.0000, 0.4998, 0.9893)  8 Mg 3.03-3.34, 1 Al 3.08, 1 Ce 3.39
Mg (0.0000, 0.9893, 0.4998)  8 Mg 3.03-3.34, 1 Al 3.08, 1 Ce 3.39
Mg (0.5000, 0.1363, 0.6402)  6 Mg 3.07-3.19, 2 Al 3.09, 2 Ce 3.25
Mg (0.5000, 0.1615, 0.1615)  8 Mg 3.14-3.18, 2 Ce 3.20
Mg (0.5000, 0.6154, 0.6154)  8 Mg 3.15-3.34, 2 Al 3.16
Mg (0.5000, 0.6402, 0.1363)  6 Mg 3.07-3.19, 2 Al 3.09, 2 Ce 3.25
Al (0.0000, 0.4600, 0.4600)  8 Mg 3.08-3.16, 2 Ce 3.14

---

(3)
Below is crystalline Sr4TlCd3 at its relaxed geometry, with properties calculated at the GGA-PBE level.

Summary:
energy relative to the elements	-0.361	eV per atom
N(E_F)	5.8	states/eV per cell

Lattice parameters (Å, degrees): 9.0426 9.0426 5.7865 108.60 108.60 37.32
With the nearest neighbours (Å) after each atom.
Fractional positions:
Sr (0.1248, 0.1248, 0.1248)  2 Tl 3.52-3.53, 6 Cd 3.52-3.53
Sr (0.3752, 0.3752, 0.3752)  6 Cd 3.52-3.53, 2 Tl 3.53
Sr (0.6248, 0.6248, 0.6248)  6 Cd 3.52-3.53, 2 Tl 3.53
Sr (0.8752, 0.8752, 0.8752)  2 Tl 3.52-3.53, 6 Cd 3.52-3.53
Tl (0.0000, 0.0000, 0.5000)  8 Sr 3.52-3.53
Cd (0.2498, 0.2498, 0.7498)  8 Sr 3.52-3.53
Cd (0.5000, 0.5000, 0.0000)  8 Sr 3.52-3.53
Cd (0.7502, 0.7502, 0.2502)  8 Sr 3.52-3.53

---

(4)
Below is crystalline PrB3Ru5 at its relaxed geometry, with properties calculated at the GGA-PBE level.

Summary:
energy relative to the elements	-0.037	eV per atom
N(E_F)	12.2	states/eV per cell

Lattice parameters (Å, degrees): 6.4725 6.4725 12.9392 90.00 90.00 152.95
With the nearest neighbours (Å) after each atom.
Fractional positions:
Pr (0.1534, 0.8466, 0.7500)  2 B 2.84, 2 Pr 3.03
Pr (0.8466, 0.1534, 0.2500)  2 B 2.84, 2 Pr 3.03
B (0.1553, 0.8447, 0.2500)  6 Ru 2.26-2.31
B (0.3684, 0.6316, 0.0275)  5 Ru 2.13-2.27
B (0.3684, 0.6316, 0.4725)  5 Ru 2.13-2.27
B (0.6316, 0.3684, 0.5275)  5 Ru 2.13-2.27
B (0.6316, 0.3684, 0.9725)  5 Ru 2.13-2.27
B (0.8447, 0.1553, 0.7500)  6 Ru 2.26-2.31
Ru (0.0000, 0.0000, 0.0000)  4 B 2.27
Ru (0.0000, 0.0000, 0.5000)  4 B 2.27
Ru (0.2073, 0.7927, 0.0786)  4 B 2.13-2.31
Ru (0.2073, 0.7927, 0.4214)  4 B 2.13-2.31
Ru (0.4397, 0.5603, 0.6591)  2 B 2.26, 1 Ru 2.35
Ru (0.4397, 0.5603, 0.8409)  2 B 2.26, 1 Ru 2.35
Ru (0.5603, 0.4397, 0.1591)  2 B 2.26, 1 Ru 2.35
Ru (0.5603, 0.4397, 0.3409)  2 B 2.26, 1 Ru 2.35
Ru (0.7927, 0.2073, 0.5786)  4 B 2.13-2.31
Ru (0.7927, 0.2073, 0.9214)  4 B 2.13-2.31

---

(5)
Below is crystalline CePm4Sm8 at its relaxed geometry, with properties calculated at the GGA-PBE level.

Summary:
energy relative to the elements	0.144	eV per atom
N(E_F)	19.3	states/eV per cell

Lattice parameters (Å, degrees): 10.0743 10.0743 10.0743 43.45 43.45 43.45
With the nearest neighbours (Å) after each atom.
Fractional positions:
Ce (0.0000, 0.0000, 0.0000)  6 Sm 2.89
Pm (0.0000, 0.0000, 0.5000)  6 Sm 3.65-3.76, 6 Pm 3.73
Pm (0.0000, 0.5000, 0.0000)  6 Sm 3.65-3.76, 6 Pm 3.73
Pm (0.5000, 0.0000, 0.0000)  6 Sm 3.65-3.76, 6 Pm 3.73
Pm (0.5000, 0.5000, 0.5000)  6 Sm 3.47, 6 Pm 3.73
Sm (0.2436, 0.2436, 0.6974)  1 Ce 2.89
Sm (0.2436, 0.6974, 0.2436)  1 Ce 2.89
Sm (0.2793, 0.2793, 0.2793)  9 Sm 3.71-3.74, 3 Pm 3.76
Sm (0.3026, 0.7564, 0.7564)  1 Ce 2.89
Sm (0.6974, 0.2436, 0.2436)  1 Ce 2.89
Sm (0.7207, 0.7207, 0.7207)  9 Sm 3.71-3.74, 3 Pm 3.76
Sm (0.7564, 0.3026, 0.7564)  1 Ce 2.89
Sm (0.7564, 0.7564, 0.3026)  1 Ce 2.89

---

(6)
Below is crystalline TlPAuO at its relaxed geometry, with properties calculated at the GGA-PBE level.

Summary:
N(E_F)	0.8	states/eV per cell
ΔE_f (raw)	-0.57	eV per atom

Lattice parameters (Å, degrees): 4.1462 4.1462 5.8584 90.00 90.00 120.00
With the nearest neighbours (Å) after each atom.
Fractional positions:
Tl (0.0000, 0.0000, 0.0000)  3 O 2.80
P (0.3333, 0.6667, 0.4800)  1 O 1.58
Au (0.6667, 0.3333, 0.3901)  3 P 2.45
O (0.3333, 0.6667, 0.7506)  1 P 1.58

---

(7)
Below is crystalline Hf2GeIr at its relaxed geometry, with properties calculated at the GGA-PBE level.

Summary:
energy relative to the elements	-0.499	eV per atom
N(E_F)	4.2	states/eV per cell

Lattice parameters (Å, degrees): 4.6962 4.6962 4.6962 60.00 60.00 60.00
With the nearest neighbours (Å) after each atom.
Fractional positions:
Hf (0.2500, 0.2500, 0.2500)  4 Ir 2.88, 4 Ge 2.88
Hf (0.7500, 0.7500, 0.7500)  4 Ge 2.88, 4 Ir 2.88
Ge (0.0000, 0.0000, 0.0000)  8 Hf 2.88
Ir (0.5000, 0.5000, 0.5000)  8 Hf 2.88

---

(8)
Below is crystalline SrCrSn3 at its relaxed geometry, with properties calculated at the GGA-PBE level.

Summary:
energy relative to the elements	-0.064	eV per atom
N(E_F)	3.5	states/eV per cell

Lattice parameters (Å, degrees): 5.1758 5.1758 5.1758 90.00 90.00 90.00
With the nearest neighbours (Å) after each atom.
Fractional positions:
Sr (0.0000, 0.0000, 0.0000)  12 Sn 3.66
Cr (0.5000, 0.5000, 0.5000)  6 Sn 2.59
Sn (0.0000, 0.5000, 0.5000)  2 Cr 2.59
Sn (0.5000, 0.0000, 0.5000)  2 Cr 2.59
Sn (0.5000, 0.5000, 0.0000)  2 Cr 2.59

---

(9)
Below is crystalline Sm8HgSe6 at its relaxed geometry, with properties calculated at the GGA-PBE level.

Summary:
N(E_F)	13.3	states/eV per cell
ΔE_f (raw)	-1.34	eV per atom

Lattice parameters (Å, degrees): 10.7846 10.7846 4.1706 90.00 90.00 120.00
With the nearest neighbours (Å) after each atom.
Fractional positions:
Sm (0.0351, 0.3248, 0.2492)  4 Se 2.86-3.10
Sm (0.2897, 0.9649, 0.2492)  4 Se 2.86-3.10
Sm (0.3248, 0.2897, 0.7508)  4 Se 2.86-3.10
Sm (0.3333, 0.6667, 0.7505)  6 Se 2.94-2.95
Sm (0.6667, 0.3333, 0.2495)  6 Se 2.94-2.95
Sm (0.6752, 0.7103, 0.2492)  4 Se 2.86-3.10
Sm (0.7103, 0.0351, 0.7508)  4 Se 2.86-3.10
Sm (0.9649, 0.6752, 0.7508)  4 Se 2.86-3.10
Hg (0.0000, 0.0000, 0.0000)  6 Sm 3.49
Se (0.1320, 0.6484, 0.2496)  6 Sm 2.86-3.10
Se (0.3516, 0.4836, 0.2496)  6 Sm 2.86-3.10
Se (0.4836, 0.1320, 0.7504)  6 Sm 2.86-3.10
Se (0.5164, 0.8680, 0.2496)  6 Sm 2.86-3.10
Se (0.6484, 0.5164, 0.7504)  6 Sm 2.86-3.10
Se (0.8680, 0.3516, 0.7504)  6 Sm 2.86-3.10

---

(10)
Below is crystalline Ti2InCuSb at its relaxed geometry, with properties calculated at the GGA-PBE level.

Summary:
N(E_F)	6.2	states/eV per cell
ΔE_f (raw)	0.86	eV per atom

Lattice parameters (Å, degrees): 5.2828 5.2828 4.7130 90.00 90.00 90.00
With the nearest neighbours (Å) after each atom.
Fractional positions:
Ti (0.0000, 0.5000, 0.0000)  2 In 2.64
Ti (0.5000, 0.0000, 0.0000)  2 In 2.64
In (0.0000, 0.0000, 0.0000)  2 Cu 2.36
Cu (0.0000, 0.0000, 0.5000)  2 In 2.36
Sb (0.5000, 0.5000, 0.5000)  8 Ti 3.54, 4 Cu 3.74

---

| no. | raw total energy (Ry per atom) | spin magnetization (Bohr magnetons per cell) |
| --- | --- | --- |
| 1 | -0.2258 | 2.00 |
| 2 | -0.1747 | 0.98 |
| 3 | -0.1353 | 0.00 |
| 4 | -0.5841 | 0.00 |
| 5 | -0.3438 | 0.00 |
| 6 | -0.3363 | 0.00 |
| 7 | -0.6501 | 0.00 |
| 8 | -0.3474 | 2.09 |
| 9 | -0.3874 | 0.00 |
| 10 | -0.3299 | 1.41 |